[1]
Density functional theory data (PBE-GGA) for an optimized crystal structure of YAl3Pd. Values from VASP.

Structure (Quantum ESPRESSO input):
```
&SYSTEM
  ibrav = 0, nat = 10, ntyp = 3
/
ATOMIC_SPECIES
Al 26.98 Al.upf
Pd 106.42 Pd.upf
Y 88.91 Y.upf
CELL_PARAMETERS angstrom
4.756 0.000 0.000
0.000 4.756 0.000
-2.378 -2.378 11.220
ATOMIC_POSITIONS crystal
Al 0.345 0.345 0.690
Al 0.121 0.871 0.243
Al 0.628 0.879 0.757
Al 0.655 0.655 0.310
Al 0.129 0.879 0.757
Al 0.121 0.372 0.243
Pd 0.608 0.108 0.217
Pd 0.892 0.392 0.783
Y 0.250 0.750 0.500
Y 0.000 0.000 0.000
```

Summary:
* symmetry: No. 119
* crystal system: tetragonal
* energy relative to the elements: 0.005 eV per atom

[2]
Density functional theory data (PBE-GGA) for an optimized crystal structure of LiSc2CoH. Values from VASP.

Structure (Quantum ESPRESSO input):
```
&SYSTEM
  ibrav = 0, nat = 5, ntyp = 4
/
ATOMIC_SPECIES
Co 58.93 Co.upf
Sc 44.96 Sc.upf
Li 6.94 Li.upf
H 1.01 H.upf
CELL_PARAMETERS angstrom
4.540 0.000 0.000
0.000 4.540 0.000
0.000 0.000 3.393
ATOMIC_POSITIONS crystal
Co 0.000 0.000 0.500
Sc 0.500 0.000 0.000
Sc 0.000 0.500 0.000
Li 0.500 0.500 0.500
H 0.000 0.000 0.000
```

Summary:
* symmetry: No. 123
* crystal system: tetragonal
* total DFT energy (no corrections): -26.0 eV/cell

[3]
Density functional theory data (PBE-GGA) for an optimized crystal structure of NaScF3. Values from VASP.

Structure (Quantum ESPRESSO input):
```
&SYSTEM
  ibrav = 0, nat = 10, ntyp = 3
/
ATOMIC_SPECIES
Sc 44.96 Sc.upf
F 19.00 F.upf
Na 22.99 Na.upf
CELL_PARAMETERS angstrom
-2.197 -1.320 -5.057
0.745 -5.874 1.210
-5.154 2.768 1.517
ATOMIC_POSITIONS crystal
Sc 0.500 0.667 0.333
Sc 0.000 0.667 0.333
F 0.750 0.823 0.646
F 0.750 0.354 0.177
F 0.250 0.823 0.646
F 0.250 0.823 0.177
F 0.750 0.823 0.177
F 0.250 0.354 0.177
Na 0.000 0.000 0.000
Na 0.500 0.000 0.000
```

Summary:
* symmetry: No. 187
* crystal system: hexagonal
* ΔE_f (raw): -3.023 eV per atom

[4]
Density functional theory data (PBE-GGA) for an optimized crystal structure of Sc4Zn3Ge. Values from VASP.

Structure (Quantum ESPRESSO input):
```
&SYSTEM
  ibrav = 0, nat = 8, ntyp = 3
/
ATOMIC_SPECIES
Zn 65.41 Zn.upf
Sc 44.96 Sc.upf
Ge 72.64 Ge.upf
CELL_PARAMETERS angstrom
4.524 0.000 1.335
2.065 4.025 1.335
0.036 0.022 8.210
ATOMIC_POSITIONS crystal
Zn 0.757 0.757 0.730
Zn 0.243 0.243 0.270
Zn 0.500 0.500 0.500
Sc 0.123 0.123 0.630
Sc 0.877 0.877 0.370
Sc 0.626 0.626 0.123
Sc 0.374 0.374 0.877
Ge 0.000 0.000 0.000
```

Summary:
* symmetry: No. 166
* crystal system: trigonal
* energy relative to the elements: -0.477 eV per atom

[5]
Density functional theory data (PBE-GGA) for an optimized crystal structure of BaHg2Pt. Values from VASP.

Structure (Quantum ESPRESSO input):
```
&SYSTEM
  ibrav = 0, nat = 4, ntyp = 3
/
ATOMIC_SPECIES
Hg 200.59 Hg.upf
Ba 137.33 Ba.upf
Pt 195.08 Pt.upf
CELL_PARAMETERS angstrom
-5.798 -3.321 1.371
2.694 0.875 -6.205
0.093 -3.950 -2.084
ATOMIC_POSITIONS crystal
Hg 0.000 0.000 0.000
Hg 0.500 0.500 0.000
Ba 0.000 0.500 0.500
Pt 0.500 0.000 0.500
```

Summary:
* symmetry: No. 12
* crystal system: monoclinic
* energy relative to the elements: -0.216 eV per atom

[6]
Density functional theory data (PBE-GGA) for an optimized crystal structure of Li6Cd8Rh. Values from VASP.

Structure (Quantum ESPRESSO input):
```
&SYSTEM
  ibrav = 0, nat = 15, ntyp = 3
/
ATOMIC_SPECIES
Li 6.94 Li.upf
Cd 112.41 Cd.upf
Rh 102.91 Rh.upf
CELL_PARAMETERS angstrom
-1.732 -6.596 -1.821
5.387 -2.690 -3.683
3.523 -4.393 4.256
ATOMIC_POSITIONS crystal
Li 0.424 0.162 0.625
Li 0.838 0.375 0.576
Li 0.576 0.838 0.375
Li 0.162 0.625 0.424
Li 0.625 0.424 0.162
Li 0.375 0.576 0.838
Cd 0.069 0.374 0.846
Cd 0.626 0.154 0.931
Cd 0.846 0.069 0.374
Cd 0.374 0.846 0.069
Cd 0.154 0.931 0.626
Cd 0.752 0.752 0.752
Cd 0.248 0.248 0.248
Cd 0.931 0.626 0.154
Rh 0.000 0.000 0.000
```

Summary:
* symmetry: No. 148
* crystal system: trigonal
* energy relative to the elements: -0.112 eV per atom

[7]
Density functional theory data (PBE-GGA) for an optimized crystal structure of YHoSn2. Values from VASP.

Structure (Quantum ESPRESSO input):
```
&SYSTEM
  ibrav = 0, nat = 8, ntyp = 3
/
ATOMIC_SPECIES
Y 88.91 Y.upf
Ho 164.93 Ho.upf
Sn 118.71 Sn.upf
CELL_PARAMETERS angstrom
-3.256 2.568 1.086
-3.736 -3.184 -3.673
-1.898 -5.090 6.343
ATOMIC_POSITIONS crystal
Y 0.000 0.125 0.682
Y 0.000 0.875 0.182
Ho 0.500 0.375 0.318
Ho 0.500 0.625 0.818
Sn 0.000 0.591 0.544
Sn 0.500 0.091 0.956
Sn 0.000 0.409 0.044
Sn 0.500 0.909 0.456
```

Summary:
* symmetry: No. 26
* crystal system: orthorhombic
* energy relative to the elements: -0.722 eV per atom